First-principles (PBE) data for a relaxed Ac8Ir3PtI3 crystal, as listed in Alexandria via LeMat-Bulk.

Calculated values
The value obtained for the total energy is -5.67 eV per atom.

Lattice parameters (Å, degrees): 15.3056 8.8478 9.9467 90.00 120.80 90.00
Space group C2/m (No. 12)
Inequivalent atoms, fractional coordinates:
Ac  0.0233  0.2450  0.3152 x8
Ac  0.2286  0.0000  0.6858 x4
Ac  0.2312  0.5000  0.6842 x4
Ir  0.0000  0.0000  0.5000 x2
Ir  0.2500  0.2500  0.5000 x4
Pt  0.0000  0.5000  0.5000 x2
I  0.0000  0.5000  0.0000 x2
I  0.2500  0.2500  0.0000 x4

First-principles (PBE) data for a relaxed Ac6Ir2PtI2 crystal, as listed in Alexandria via LeMat-Bulk.

Calculated values
The value obtained for the total energy is -5.65 eV per atom.

Lattice parameters (Å, degrees): 7.6838 13.2889 8.9031 90.00 106.62 90.00
Space group C2/m (No. 12)
Inequivalent atoms, fractional coordinates:
Ac  0.2194  0.0000  0.1841 x4
Ac  0.2328  0.3310  0.1848 x8
Ir  0.0000  0.1688  0.0000 x4
Pt  0.0000  0.5000  0.0000 x2
I  0.0000  0.3344  0.5000 x4

First-principles (PBE) data for a relaxed Ac2PuIr2I2 crystal, as listed in Alexandria via LeMat-Bulk.

Calculated values
The value obtained for the total energy is -7.01 eV per atom.

Lattice parameters (Å, degrees): 5.1242 5.1242 17.6729 90.00 90.00 90.00
Space group I4/mmm (No. 139)
Inequivalent atoms, fractional coordinates:
Ac  0.0000  0.0000  0.1082 x4
Pu  0.0000  0.0000  0.5000 x2
Ir  0.0000  0.5000  0.0000 x4
I  0.0000  0.0000  0.3121 x4

First-principles (PBE) data for a relaxed Ac8IrRh3I4 crystal, as listed in Alexandria via LeMat-Bulk.

Calculated values
The value obtained for the total energy is -5.42 eV per atom.

Lattice parameters (Å, degrees): 8.7552 8.7552 26.0167 90.00 90.00 120.00
Space group R-3m (No. 166, hexagonal axes)
Inequivalent atoms, fractional coordinates:
Ac  0.0000  0.0000  0.2283 x6
Ac  0.0018  0.5009  0.2282 x18
Ir  0.0000  0.0000  0.5000 x3
Rh  0.0000  0.5000  0.5000 x9
I  0.0000  0.0000  0.0000 x3
I  0.0000  0.5000  0.0000 x9

First-principles (PBE) data for a relaxed Ac6Ir2RhI2 crystal, as listed in Alexandria via LeMat-Bulk.

Calculated values
The value obtained for the total energy is -5.69 eV per atom.

Lattice parameters (Å, degrees): 7.6054 13.1865 9.0109 90.00 106.53 90.00
Space group C2/m (No. 12)
Inequivalent atoms, fractional coordinates:
Ac  0.2272  0.0000  0.1814 x4
Ac  0.2287  0.3326  0.1824 x8
Ir  0.0000  0.1685  0.0000 x4
Rh  0.0000  0.5000  0.0000 x2
I  0.0000  0.3337  0.5000 x4

First-principles (PBE) data for a relaxed Ac6Ir2Rh3I crystal, as listed in Alexandria via LeMat-Bulk.

Calculated values
The value obtained for the total energy is -6.14 eV per atom.

Lattice parameters (Å, degrees): 19.0604 4.3265 9.0249 90.00 103.16 90.00
Space group C2/m (No. 12)
Inequivalent atoms, fractional coordinates:
Ac  0.0034  0.0000  0.2857 x4
Ac  0.1703  0.5000  0.5804 x4
Ac  0.1824  0.5000  0.1004 x4
Ir  0.1647  0.0000  0.3311 x4
Rh  0.0000  0.5000  0.5000 x2
Rh  0.1583  0.0000  0.8312 x4
I  0.0000  0.5000  0.0000 x2

Number 1: raw formation energy -0.995 eV/atom, ρ 8.5 g cm⁻³. Number 2: raw formation energy -0.970 eV/atom, ρ 8.4 g cm⁻³. Number 3: raw formation energy -0.818 eV/atom, ρ 9.6 g cm⁻³. Number 4: raw formation energy -1.049 eV/atom, ρ 8.1 g cm⁻³. Number 5: raw formation energy -0.892 eV/atom, ρ 8.1 g cm⁻³. Number 6: raw formation energy -0.639 eV/atom, ρ 10.0 g cm⁻³.